# SmMg2Ga2Pt

A geometry-optimized SmMg2Ga2Pt structure (PBE-GGA, Alexandria).

Output
Space-group type = No. 139
Total energy = -20.45 eV for the cell shown
Energy relative to the elements = -0.075 eV/atom

abc: 6.5609 6.5609 6.5609
angles: 134.30 134.30 66.62
Last column: nearest neighbours and their distance in Å.
Atoms (fractional coordinates):
Sm: 0.0000 0.0000 0.0000  2 Ga 3.10
Mg: 0.2500 0.7500 0.5000  4 Ga 2.57
Mg: 0.7500 0.2500 0.5000  4 Ga 2.57
Ga: 0.2826 0.2826 0.0000  1 Pt 2.38, 4 Mg 2.57
Ga: 0.7174 0.7174 0.0000  1 Pt 2.38, 4 Mg 2.57
Pt: 0.5000 0.5000 0.0000  2 Ga 2.38